Record 1
Zn4PdPt5: relaxed, PBE.

The structure in POSCAR format:
```
Zn4PdPt5
1.0
-0.098 -2.704 -0.941
2.128 -0.699 1.787
-12.051 -4.016 12.783
Zn Pt Pd
4 5 1
Cartesian
-2.474 -0.825 2.625 Zn
-4.843 -1.614 5.137 Zn
-7.209 -2.402 7.646 Zn
-9.577 -3.191 10.158 Zn
-5.010 -3.709 6.814 Pt
-9.705 -5.273 11.793 Pt
-2.652 -2.923 4.312 Pt
-0.316 -2.145 1.835 Pt
-7.369 -4.495 9.315 Pt
0.000 0.000 0.000 Pd
```

The crystal system is tetragonal. As for the space-group type: P4/mmm.

***

Record 2
Zn7Pd3Pt2: relaxed, PBE.

The structure in POSCAR format:
```
Zn7Pd3Pt2
1.0
-0.278 2.174 3.417
-3.545 1.762 -1.410
-4.143 -9.023 5.404
Zn Pd Pt
7 3 2
Cartesian
0.000 0.000 0.000 Zn
-3.277 -4.511 2.603 Zn
-6.877 -4.866 4.948 Zn
-1.090 -0.221 2.464 Zn
-2.696 -0.389 0.028 Zn
-4.411 -2.750 1.391 Zn
-4.993 -6.872 3.966 Zn
-3.692 -0.482 2.417 Pd
-4.275 -4.605 4.994 Pd
-1.912 1.968 1.004 Pd
-5.854 -4.736 2.537 Pt
-1.835 -2.525 1.457 Pt
```

The crystal system is orthorhombic. As for the space-group type: Cmmm.

***

Record 3
ZnPd2Pt9: relaxed, PBE.

The structure in POSCAR format:
```
ZnPd2Pt9
1.0
3.938 0.000 0.000
0.000 3.938 0.000
0.000 0.000 11.938
Pt Pd Zn
9 2 1
Cartesian
0.000 1.969 9.994 Pt
0.000 1.969 5.969 Pt
1.969 0.000 9.994 Pt
1.969 0.000 1.943 Pt
1.969 0.000 5.969 Pt
1.969 1.969 0.000 Pt
0.000 1.969 1.943 Pt
1.969 1.969 3.941 Pt
1.969 1.969 7.997 Pt
0.000 0.000 3.967 Pd
0.000 0.000 7.971 Pd
0.000 0.000 0.000 Zn
```

The crystal system is tetragonal. As for the space-group type: P4/mmm.

***

Record 4
ZnPd4Pt4: relaxed, PBE.

The structure in POSCAR format:
```
ZnPd4Pt4
1.0
3.814 0.000 1.151
1.907 5.881 0.576
0.207 0.000 6.206
Pt Pd Zn
4 4 1
Cartesian
4.209 2.941 3.289 Pt
1.719 2.941 4.644 Pt
4.767 4.873 1.439 Pt
1.160 1.008 6.494 Pt
2.301 4.876 2.717 Pd
3.627 1.005 5.216 Pd
3.627 4.877 5.216 Pd
2.301 1.005 2.717 Pd
2.860 2.941 0.864 Zn
```

The crystal system is tetragonal. As for the space-group type: I4/mmm.

***

Record 5
Zn2Pd3Pt4: relaxed, PBE.

The structure in POSCAR format:
```
Zn2Pd3Pt4
1.0
4.690 -0.459 -0.329
-0.284 7.868 -0.157
-0.284 2.387 7.499
Pt Pd Zn
8 6 4
Cartesian
3.087 4.304 1.711 Pt
-0.161 3.632 6.981 Pt
1.938 2.247 5.990 Pt
3.379 6.560 3.327 Pt
1.034 5.492 5.303 Pt
4.283 6.165 0.033 Pt
0.742 3.236 3.687 Pt
2.184 7.550 1.024 Pt
2.666 2.205 0.017 Pd
0.321 0.957 2.247 Pd
1.455 7.591 6.996 Pd
3.800 8.840 4.767 Pd
3.233 4.063 4.431 Pd
0.888 5.733 2.583 Pd
3.602 6.362 5.952 Zn
2.864 1.882 2.744 Zn
0.519 3.434 1.062 Zn
1.257 7.914 4.269 Zn
```

The crystal system is monoclinic. The calculation puts the relative energy among the computed polymorphs at 0.0679 eV per atom. As for the space-group type: C2/c.

***

Record 6
Zn2PdPt3: relaxed, PBE.

The structure in POSCAR format:
```
Zn2PdPt3
1.0
-2.673 4.691 -0.130
-4.107 -2.410 -2.530
0.663 -2.534 7.084
Zn Pt Pd
4 6 2
Cartesian
-1.437 0.726 1.642 Zn
-4.679 -0.979 2.783 Zn
-4.874 1.949 0.309 Zn
-1.242 -2.203 4.115 Zn
-3.633 -0.446 0.576 Pt
-2.483 0.192 3.848 Pt
-2.869 3.023 1.778 Pt
-2.363 1.743 -0.698 Pt
-3.247 -3.276 2.646 Pt
-4.416 0.538 -1.962 Pt
-1.027 -0.603 -0.632 Pd
-3.080 -1.808 -1.897 Pd
```

The crystal system is orthorhombic. The calculation puts the relative energy among the computed polymorphs at 0.0580 eV per atom. As for the space-group type: Ibam.

***

Record 7
Zn4Pd2Pt: relaxed, PBE.

The structure in POSCAR format:
```
Zn4Pd2Pt
1.0
4.305 0.000 0.000
0.000 4.813 -2.137
0.000 0.227 5.261
Zn Pd Pt
4 2 1
Cartesian
2.153 2.406 -1.068 Zn
0.000 1.119 0.694 Zn
0.000 3.921 2.430 Zn
2.153 0.114 2.630 Zn
0.000 1.435 3.312 Pd
0.000 3.605 -0.188 Pd
2.153 2.520 1.562 Pt
```

The crystal system is orthorhombic. As for the space-group type: Cmmm.

***

Record 8
Zn2Pd5Pt5: relaxed, PBE.

The structure in POSCAR format:
```
Zn2Pd5Pt5
1.0
-3.850 0.631 -2.614
-0.468 -1.514 4.543
1.094 9.713 0.733
Pd Zn Pt
5 2 5
Cartesian
-2.046 2.567 -0.585 Pd
-1.378 5.172 -0.940 Pd
-0.493 8.860 2.866 Pd
-1.178 6.263 3.247 Pd
-2.730 -0.030 -0.204 Pd
0.416 7.065 1.093 Zn
-3.640 1.765 1.569 Zn
-0.248 4.391 1.426 Pt
-0.933 1.756 1.799 Pt
-2.976 4.439 1.236 Pt
-2.290 7.074 0.863 Pt
0.000 0.000 0.000 Pt
```

The crystal system is monoclinic. The calculation puts the relative energy among the computed polymorphs at 0.0628 eV per atom. As for the space-group type: C2/m.

***

Record 9
Zn8Pd2Pt: relaxed, PBE.

The structure in POSCAR format:
```
Zn8Pd2Pt
1.0
4.371 0.000 -0.979
-0.141 4.862 -0.631
-0.575 0.243 7.677
Zn Pd Pt
8 2 1
Cartesian
2.740 0.511 1.986 Zn
3.544 3.811 5.574 Zn
2.960 3.290 2.968 Zn
0.914 4.594 4.081 Zn
0.110 1.294 0.492 Zn
0.694 1.815 3.098 Zn
2.388 2.703 0.415 Zn
1.266 2.403 5.652 Zn
0.359 3.954 1.602 Pd
3.295 1.151 4.465 Pd
2.185 0.000 -0.490 Pt
```

The crystal system is monoclinic. The calculation puts the relative energy among the computed polymorphs at 0.0000 eV per atom. As for the space-group type: C2/m.

***

Record 10
Zn5PdPt2: relaxed, PBE.

The structure in POSCAR format:
```
Zn5PdPt2
1.0
4.233 0.000 -1.587
-0.595 4.192 -1.586
0.046 0.055 6.561
Zn Pd Pt
5 1 2
Cartesian
3.513 1.608 2.930 Zn
0.172 2.639 0.458 Zn
1.819 2.096 -1.587 Zn
2.586 0.539 0.459 Zn
1.098 3.708 2.929 Zn
0.000 0.000 0.000 Pd
2.726 3.137 0.832 Pt
0.959 1.110 2.557 Pt
```

The crystal system is tetragonal. As for the space-group type: I4/mmm.

***

Record 11
ZnPdPt: relaxed, PBE.

The structure in POSCAR format:
```
ZnPdPt
1.0
5.550 0.000 0.034
0.000 3.910 0.000
-3.352 0.000 8.239
Zn Pt Pd
4 4 4
Cartesian
2.231 0.000 6.909 Zn
3.906 1.955 2.789 Zn
-1.708 1.955 5.484 Zn
-0.032 0.000 1.364 Zn
1.146 1.955 2.719 Pt
-0.530 0.000 6.839 Pt
1.053 1.955 5.554 Pt
2.729 0.000 1.434 Pt
4.190 1.955 0.109 Pd
-1.991 1.955 8.164 Pd
-0.315 0.000 4.045 Pd
2.514 0.000 4.228 Pd
```

The crystal system is monoclinic. The calculation puts the relative energy among the computed polymorphs at 0.0527 eV per atom. As for the space-group type: C2/m.

***

Record 12
Zn2Pd3Pt4: relaxed, PBE.

The structure in POSCAR format:
```
Zn2Pd3Pt4
1.0
2.727 0.000 -0.587
-0.569 6.926 -2.643
0.159 -0.415 7.363
Zn Pt Pd
2 4 3
Cartesian
0.468 6.605 2.175 Zn
1.848 -0.094 1.958 Zn
1.226 2.301 -0.933 Pt
1.091 4.210 5.066 Pt
1.949 4.368 2.427 Pt
0.367 2.142 1.706 Pt
2.239 1.801 3.773 Pd
0.000 0.000 0.000 Pd
0.078 4.710 0.360 Pd
```

The crystal system is monoclinic. The calculation puts the relative energy among the computed polymorphs at 0.0000 eV per atom. As for the space-group type: C2/m.

***

| no. | formation energy (eV per atom) | raw total energy (eV per atom) |
| --- | --- | --- |
| 1 | -0.47 | -4.520 |
| 2 | -0.33 | -3.383 |
| 3 | -0.14 | -5.641 |
| 4 | -0.16 | -5.298 |
| 5 | -0.21 | -4.907 |
| 6 | -0.21 | -4.525 |
| 7 | -0.46 | -3.532 |
| 8 | -0.17 | -5.060 |
| 9 | -0.33 | -2.754 |
| 10 | -0.41 | -3.361 |
| 11 | -0.38 | -4.544 |
| 12 | -0.28 | -4.975 |